A relaxed Ba4AgAu3 crystal. Source: OQMD via LeMat-Bulk, functional PBE.

abc: 6.567 5.002 8.564
angles: 90.00 90.10 90.00
Atoms (fractional coordinates):
Au: 0.365 0.500 0.540
Ba: 0.364 0.000 0.814
Ba: 0.864 0.500 0.677
Ba: 0.139 0.000 0.320
Ba: 0.631 0.500 0.186
Au: 0.123 0.500 0.037
Ag: 0.877 0.000 0.965
Au: 0.637 0.000 0.461

Calculated values
E_tot = -3.1569 eV/atom
V = 281.3 Å³ per cell

---

A relaxed BaAgAu crystal. Source: OQMD via LeMat-Bulk, functional PBE.

abc: 5.404 5.404 5.404
angles: 60.00 60.00 60.00
Atoms (fractional coordinates):
Au: 0.750 0.750 0.750
Ba: 0.000 0.000 0.000
Ag: 0.250 0.250 0.250

Calculated values
Polymorph energy (0 for the lowest one) = 403 meV per atom
V = 111.6 Å³ per cell

---

A relaxed BaAg3Au2 crystal. Source: OQMD via LeMat-Bulk, functional PBE.

abc: 5.822 5.822 4.651
angles: 90.00 90.00 120.00
Atoms (fractional coordinates):
Ba: 0.000 0.000 0.000
Ag: 0.500 0.000 0.500
Ag: 0.500 0.500 0.500
Au: 0.333 0.667 0.000
Au: 0.667 0.333 0.000
Ag: 0.000 0.500 0.500

Calculated values
E_tot = -3.1503 eV/atom
V = 136.5 Å³ per cell

---

A relaxed Ba2AgAu crystal. Source: OQMD via LeMat-Bulk, functional PBE.

abc: 5.020 6.583 6.583
angles: 40.37 90.00 90.00
Atoms (fractional coordinates):
Ba: 0.500 0.638 0.638
Ba: 0.000 0.363 0.363
Au: 0.500 0.925 0.925
Ag: 0.000 0.074 0.074

Calculated values
E_tot = -2.9841 eV/atom
V = 140.9 Å³ per cell

---

A relaxed Ba2AgAu crystal. Source: OQMD via LeMat-Bulk, functional PBE.

abc: 6.601 4.995 8.605
angles: 90.00 90.18 90.00
Atoms (fractional coordinates):
Ag: 0.116 0.250 0.034
Ba: 0.630 0.250 0.189
Ag: 0.884 0.750 0.966
Au: 0.362 0.250 0.540
Ba: 0.861 0.250 0.675
Au: 0.638 0.750 0.460
Ba: 0.370 0.750 0.811
Ba: 0.139 0.750 0.325

Calculated values
E_tot = -2.9909 eV/atom
V = 283.7 Å³ per cell

---

A relaxed Ba2AgAu crystal. Source: OQMD via LeMat-Bulk, functional PBE.

abc: 5.481 5.481 5.481
angles: 60.00 60.00 60.00
Atoms (fractional coordinates):
Ba: 0.500 0.500 0.500
Au: 0.000 0.000 0.000
Ba: 0.250 0.250 0.250
Ag: 0.750 0.750 0.750

Calculated values
E_tot = -2.7069 eV/atom
V = 116.5 Å³ per cell

---

A relaxed Ba2AgAu crystal. Source: OQMD via LeMat-Bulk, functional PBE.

abc: 4.983 6.594 8.603
angles: 90.00 90.00 90.00
Atoms (fractional coordinates):
Au: 0.000 0.875 0.536
Ba: 0.000 0.621 0.181
Ba: 0.000 0.379 0.681
Ba: 0.500 0.888 0.818
Ag: 0.500 0.374 0.965
Ba: 0.500 0.112 0.318
Au: 0.000 0.125 0.036
Ag: 0.500 0.626 0.465

Calculated values
E_tot = -2.9914 eV/atom
V = 282.7 Å³ per cell

---

A relaxed BaAg2Au3 crystal. Source: OQMD via LeMat-Bulk, functional PBE.

abc: 5.820 5.820 4.646
angles: 90.00 90.00 120.00
Atoms (fractional coordinates):
Au: 0.500 0.500 0.500
Au: 0.500 0.000 0.500
Ag: 0.667 0.333 0.000
Ag: 0.333 0.667 0.000
Au: 0.000 0.500 0.500
Ba: 0.000 0.000 0.000

Calculated values
E_tot = -3.2488 eV/atom
V = 136.3 Å³ per cell

---

A relaxed Ba2AgBi2Au crystal. Source: OQMD via LeMat-Bulk, functional PBE.

abc: 4.969 4.969 9.423
angles: 90.00 90.00 120.00
Atoms (fractional coordinates):
Bi: 0.333 0.667 0.998
Ag: 0.000 0.000 0.003
Ba: 0.667 0.333 0.749
Au: 0.333 0.667 0.503
Bi: 0.000 0.000 0.497
Ba: 0.667 0.333 0.250

Calculated values
E_tot = -3.7399 eV/atom
V = 201.5 Å³ per cell

---

A relaxed Ba2AgBi2Au crystal. Source: OQMD via LeMat-Bulk, functional PBE.

abc: 4.981 4.981 9.345
angles: 90.00 90.00 120.00
Atoms (fractional coordinates):
Bi: 0.000 0.000 0.500
Bi: 0.667 0.333 0.000
Ag: 0.000 0.000 0.000
Au: 0.667 0.333 0.500
Ba: 0.333 0.667 0.750
Ba: 0.333 0.667 0.250

Calculated values
E_tot = -3.7397 eV/atom
V = 200.8 Å³ per cell

---

A relaxed BaAgGeAu crystal. Source: OQMD via LeMat-Bulk, functional PBE.

abc: 5.235 5.235 5.235
angles: 60.00 60.00 60.00
Atoms (fractional coordinates):
Ba: 0.500 0.500 0.500
Au: 0.750 0.750 0.750
Ag: 0.000 0.000 0.000
Ge: 0.250 0.250 0.250

Calculated values
Polymorph energy (0 for the lowest one) = 35 meV per atom
V = 101.4 Å³ per cell

---

A relaxed BaAgGeAu crystal. Source: OQMD via LeMat-Bulk, functional PBE.

abc: 5.256 5.256 5.256
angles: 60.00 60.00 60.00
Atoms (fractional coordinates):
Ag: 0.250 0.250 0.250
Au: 0.750 0.750 0.750
Ba: 0.500 0.500 0.500
Ge: 0.000 0.000 0.000

Calculated values
Polymorph energy (0 for the lowest one) = 0 meV per atom
V = 102.7 Å³ per cell

---

A relaxed BaAgGeAu crystal. Source: OQMD via LeMat-Bulk, functional PBE.

abc: 5.179 5.179 5.179
angles: 60.00 60.00 60.00
Atoms (fractional coordinates):
Au: 0.750 0.750 0.750
Ba: 0.250 0.250 0.250
Ag: 0.500 0.500 0.500
Ge: 0.000 0.000 0.000

Calculated values
Polymorph energy (0 for the lowest one) = 43 meV per atom
V = 98.2 Å³ per cell

---

A relaxed BaAgGeAuSe4 crystal. Source: OQMD via LeMat-Bulk, functional PBE.

abc: 6.651 6.651 6.917
angles: 119.69 119.69 79.26
Atoms (fractional coordinates):
Ag: 0.674 0.326 0.000
Au: 0.325 0.675 0.000
Se: 0.847 0.513 0.481
Se: 0.510 0.843 0.872
Ge: 0.501 0.499 0.500
Ba: 0.998 0.002 0.500
Se: 0.487 0.153 0.519
Se: 0.157 0.490 0.128

Calculated values
E_tot = -4.0287 eV/atom
V = 230.2 Å³ per cell

---

A relaxed BaHfAgAu crystal. Source: OQMD via LeMat-Bulk, functional PBE.

abc: 5.097 5.097 5.097
angles: 60.00 60.00 60.00
Atoms (fractional coordinates):
Ag: 0.000 0.000 0.000
Au: 0.750 0.750 0.750
Ba: 0.500 0.500 0.500
Hf: 0.250 0.250 0.250

Calculated values
Polymorph energy (0 for the lowest one) = 203 meV per atom
V = 93.6 Å³ per cell

---

A relaxed BaHfAgAu crystal. Source: OQMD via LeMat-Bulk, functional PBE.

abc: 5.263 5.263 5.263
angles: 60.00 60.00 60.00
Atoms (fractional coordinates):
Ag: 0.250 0.250 0.250
Au: 0.750 0.750 0.750
Ba: 0.500 0.500 0.500
Hf: 0.000 0.000 0.000

Calculated values
Polymorph energy (0 for the lowest one) = 0 meV per atom
V = 103.1 Å³ per cell

---

A relaxed BaHfAgAu crystal. Source: OQMD via LeMat-Bulk, functional PBE.

abc: 5.063 5.063 5.063
angles: 60.00 60.00 60.00
Atoms (fractional coordinates):
Hf: 0.000 0.000 0.000
Ba: 0.250 0.250 0.250
Au: 0.750 0.750 0.750
Ag: 0.500 0.500 0.500

Calculated values
Polymorph energy (0 for the lowest one) = 107 meV per atom
V = 91.8 Å³ per cell

---

A relaxed Ba2AgAuN2 crystal. Source: OQMD via LeMat-Bulk, functional PBE.

abc: 4.138 4.138 8.431
angles: 90.00 90.00 120.00
Atoms (fractional coordinates):
Ba: 0.333 0.667 0.248
N: 0.000 0.000 0.500
Ag: 0.000 0.000 0.000
Ba: 0.333 0.667 0.752
N: 0.667 0.333 0.000
Au: 0.667 0.333 0.500

Calculated values
E_tot = -4.2769 eV/atom
V = 125.0 Å³ per cell

---

A relaxed Ba4AgAuO6 crystal. Source: OQMD via LeMat-Bulk, functional PBE.

abc: 5.801 7.274 11.410
angles: 90.00 90.00 113.50
Atoms (fractional coordinates):
Ba: 0.647 0.294 0.500
O: 0.845 0.690 0.000
O: 0.274 0.000 0.110
Ag: 0.599 0.000 0.250
Ba: 0.353 0.706 0.500
Ba: 0.921 0.708 0.250
O: 0.274 0.000 0.390
O: 0.440 0.680 0.250
O: 0.560 0.320 0.750
Ba: 0.647 0.294 0.000
O: 0.726 0.000 0.890
O: 0.760 0.320 0.250
Ba: 0.214 0.292 0.250
O: 0.155 0.310 0.500
O: 0.240 0.680 0.750
Ag: 0.401 0.000 0.750
O: 0.155 0.310 0.000
Ba: 0.079 0.292 0.750
Au: 0.000 0.000 0.500
Ba: 0.353 0.706 0.000
Ba: 0.786 0.708 0.750
O: 0.726 0.000 0.610
O: 0.845 0.690 0.500
Au: 0.000 0.000 0.000

Calculated values
E_tot = -5.4661 eV/atom
V = 441.5 Å³ per cell

---

A relaxed Ba2AgP2Au crystal. Source: OQMD via LeMat-Bulk, functional PBE.

abc: 4.498 4.498 9.080
angles: 90.00 90.00 120.00
Atoms (fractional coordinates):
Au: 0.667 0.333 0.500
P: 0.667 0.333 0.000
P: 0.000 0.000 0.500
Ba: 0.333 0.667 0.250
Ba: 0.333 0.667 0.750
Ag: 0.000 0.000 0.000

Calculated values
E_tot = -4.2638 eV/atom
V = 159.1 Å³ per cell

---

A relaxed Ba2AgP2Au crystal. Source: OQMD via LeMat-Bulk, functional PBE.

abc: 4.498 4.498 9.115
angles: 90.00 90.00 120.00
Atoms (fractional coordinates):
P: 0.000 0.000 0.499
Ba: 0.667 0.333 0.250
Ag: 0.000 0.000 0.001
P: 0.333 0.667 0.999
Au: 0.333 0.667 0.501
Ba: 0.667 0.333 0.751

Calculated values
E_tot = -4.2639 eV/atom
V = 159.7 Å³ per cell

---

A relaxed Ba2AgSb2Au crystal. Source: OQMD via LeMat-Bulk, functional PBE.

abc: 4.870 4.870 9.360
angles: 90.00 90.00 120.00
Atoms (fractional coordinates):
Ag: 0.000 0.000 0.003
Ba: 0.667 0.333 0.250
Sb: 0.000 0.000 0.497
Ba: 0.667 0.333 0.749
Sb: 0.333 0.667 0.998
Au: 0.333 0.667 0.503

Calculated values
E_tot = -3.8894 eV/atom
V = 192.3 Å³ per cell

---

A relaxed Ba2AgSb2Au crystal. Source: OQMD via LeMat-Bulk, functional PBE.

abc: 4.859 4.859 9.391
angles: 90.00 90.00 120.00
Atoms (fractional coordinates):
Sb: 0.000 0.000 0.500
Sb: 0.667 0.333 0.000
Ba: 0.333 0.667 0.250
Ag: 0.000 0.000 0.000
Ba: 0.333 0.667 0.750
Au: 0.667 0.333 0.500

Calculated values
E_tot = -3.8897 eV/atom
V = 192.0 Å³ per cell

---

A relaxed BaAgAuSe3 crystal. Source: OQMD via LeMat-Bulk, functional PBE.

abc: 6.768 6.768 10.719
angles: 90.00 90.00 141.95
Atoms (fractional coordinates):
Ag: 0.539 0.461 0.750
Se: 0.067 0.933 0.250
Se: 0.640 0.360 0.528
Se: 0.640 0.360 0.972
Se: 0.360 0.640 0.472
Ba: 0.240 0.760 0.750
Au: 0.000 0.000 0.000
Se: 0.933 0.067 0.750
Ag: 0.461 0.539 0.250
Au: 0.000 0.000 0.500
Se: 0.360 0.640 0.028
Ba: 0.760 0.240 0.250

Calculated values
E_tot = -3.6348 eV/atom
V = 302.6 Å³ per cell

---

A relaxed BaSiAgAu crystal. Source: OQMD via LeMat-Bulk, functional PBE.

abc: 5.127 5.127 5.127
angles: 60.00 60.00 60.00
Atoms (fractional coordinates):
Si: 0.000 0.000 0.000
Au: 0.750 0.750 0.750
Ba: 0.250 0.250 0.250
Ag: 0.500 0.500 0.500

Calculated values
Polymorph energy (0 for the lowest one) = 36 meV per atom
V = 95.3 Å³ per cell

---

A relaxed BaSiAgAu crystal. Source: OQMD via LeMat-Bulk, functional PBE.

abc: 5.180 5.180 5.180
angles: 60.00 60.00 60.00
Atoms (fractional coordinates):
Si: 0.250 0.250 0.250
Ba: 0.500 0.500 0.500
Au: 0.750 0.750 0.750
Ag: 0.000 0.000 0.000

Calculated values
Polymorph energy (0 for the lowest one) = 37 meV per atom
V = 98.3 Å³ per cell

---

A relaxed BaSiAgAu crystal. Source: OQMD via LeMat-Bulk, functional PBE.

abc: 5.187 5.187 5.187
angles: 60.00 60.00 60.00
Atoms (fractional coordinates):
Ag: 0.250 0.250 0.250
Au: 0.750 0.750 0.750
Ba: 0.500 0.500 0.500
Si: 0.000 0.000 0.000

Calculated values
Polymorph energy (0 for the lowest one) = 0 meV per atom
V = 98.7 Å³ per cell